[1]
A relaxed Sm2HoCuSe5 crystal, computed with PBE-GGA.

Lattice parameters (Å, degrees): 4.038 17.584 12.093 90.00 90.00 90.00
Space group Cmc2_1 (No. 36)
One atom of each set of equivalent atoms:
Sm  0.000  0.109  0.000 x4
Sm  0.000  0.122  0.623 x4
Ho  0.000  0.193  0.325 x4
Cu  0.000  0.436  0.770 x4
Se  0.000  0.042  0.378 x4
Se  0.000  0.288  0.989 x4
Se  0.000  0.313  0.659 x4
Se  0.000  0.357  0.315 x4
Se  0.000  0.499  0.095 x4

energy: -5.5248 eV/atom
DOS at the Fermi energy: 0.19 states/eV/cell

***

[2]
A relaxed SrHo2CuSe4 crystal, computed with PBE-GGA.

Lattice parameters (Å, degrees): 4.080 13.656 14.160 90.00 90.00 90.00
Space group Cmcm (No. 63)
One atom of each set of equivalent atoms:
Sr  0.000  0.121  0.250 x4
Ho  0.000  0.372  0.061 x8
Cu  0.000  0.151  0.750 x4
Se  0.000  0.000  0.000 x4
Se  0.000  0.271  0.618 x8
Se  0.000  0.448  0.250 x4

energy: -5.1781 eV/atom
DOS at the Fermi energy: 7.26 states/eV/cell

***

[3]
A relaxed Sr2HoCu2Se4 crystal, computed with PBE-GGA.

Lattice parameters (Å, degrees): 15.023 4.036 7.481 90.00 111.00 90.00
Space group C2/m (No. 12)
One atom of each set of equivalent atoms:
Sr  0.135  0.000  0.076 x4
Ho  0.000  0.000  0.500 x2
Cu  0.187  0.500  0.495 x4
Se  0.022  0.500  0.246 x4
Se  0.203  0.000  0.711 x4

energy: -4.5986 eV/atom
DOS at the Fermi energy: 8.49 states/eV/cell

***

- DOS at the Fermi energy of number 3 (Sr2HoCu2Se4)?
  8.49 states/eV/cell

***

- The highest DOS at the Fermi energy belongs to which entry?
  Sr2HoCu2Se4

***

- Which of these has the highest DOS at the Fermi energy?
  Sr2HoCu2Se4